Record 1
Computed, not measured: MgNbO2F after structural relaxation at the PBE-GGA level of DFT.

a = 4.0338 Å, b = 4.0338 Å, c = 4.3047 Å
α = 90.00°, β = 90.00°, γ = 90.00°
Site moments in Bohr magnetons follow the coordinates.
Atoms (fractional coordinates):
Mg 0.5000 0.5000 0.5000  0.01
Nb 0.0000 0.0000 0.0000  0.69
O 0.5000 0.0000 0.0000  -0.01
O 0.0000 0.5000 0.0000  -0.01
F 0.0000 0.0000 0.5000  0.02

Results
As for the total energy: -6.598 eV per atom.

***

Record 2
Computed, not measured: MgNbPdF2 after structural relaxation at the PBE-GGA level of DFT.

a = 4.0942 Å, b = 5.2705 Å, c = 4.0942 Å
α = 90.00°, β = 90.00°, γ = 90.00°
Atoms (fractional coordinates):
F 0.0000 0.0000 0.5000
F 0.5000 0.0000 0.0000
Nb 0.0000 0.0000 0.0000
Mg 0.5000 0.5000 0.5000
Pd 0.0000 0.5000 0.0000

Results
As for the total energy: -5.345 eV per atom.

***

Record 3
Computed, not measured: Rb2Mg3NbF12 after structural relaxation at the PBE-GGA level of DFT.

a = 7.5311 Å, b = 7.5311 Å, c = 7.5311 Å
α = 58.75°, β = 58.75°, γ = 58.75°
Site moments in Bohr magnetons follow the coordinates.
Atoms (fractional coordinates):
F 0.9234 0.3120 0.3120  0.00
F 0.9199 0.3257 0.9199  0.01
F 0.6743 0.0801 0.0801  0.01
F 0.3120 0.9234 0.3120  0.00
F 0.6880 0.0766 0.6880  0.00
F 0.6880 0.6880 0.0766  0.00
F 0.3120 0.3120 0.9234  0.00
F 0.3257 0.9199 0.9199  0.01
F 0.9199 0.9199 0.3257  0.01
F 0.0801 0.0801 0.6743  0.01
F 0.0801 0.6743 0.0801  0.01
F 0.0766 0.6880 0.6880  0.00
Mg 0.0000 0.0000 0.5000  0.00
Mg 0.0000 0.5000 0.0000  0.00
Mg 0.5000 0.0000 0.0000  0.00
Rb 0.5983 0.5983 0.5983  0.00
Rb 0.4017 0.4017 0.4017  0.00
Nb 0.0000 0.0000 0.0000  0.85

Results
As for the total energy: -5.394 eV per atom.